Compound: GaHgSbI2
Source: Alexandria
Functional: GGA-PBE
Structure: relaxed

Output
Energy above the lowest structure with this stoichiometry in meV/atom: 155
Raw total energy in eV per atom: -1.790
Uncorrected formation energy in eV/atom: 0.320
Magnetic moment in μB/cell: 1.76

```
data_GaHgSbI2
_chemical_formula_sum 'Ga1 Hg1 Sb1 I2'
_symmetry_space_group_name_H-M 'P 4/m m m'
_symmetry_Int_Tables_number 123
_symmetry_space_group_name_Hall '-P 4 2'
_cell_length_a 6.191
_cell_length_b 6.191
_cell_length_c 5.560
_cell_angle_alpha 90.00
_cell_angle_beta 90.00
_cell_angle_gamma 90.00
loop_
_atom_site_label
_atom_site_type_symbol
_atom_site_fract_x
_atom_site_fract_y
_atom_site_fract_z
Ga1 Ga 0.000 0.000 0.000
Hg1 Hg 0.500 0.500 0.500
Sb1 Sb 0.500 0.500 0.000
I1 I 0.000 0.500 0.500
```

Compound: GaHgSbI2
Source: Alexandria
Functional: GGA-PBE
Structure: relaxed

Output
Energy above the lowest structure with this stoichiometry in meV/atom: 0
Raw total energy in eV per atom: -1.946
Uncorrected formation energy in eV/atom: 0.165
Magnetic moment in μB/cell: 1.07

```
data_GaHgSbI2
_chemical_formula_sum 'Ga1 Hg1 Sb1 I2'
_symmetry_space_group_name_H-M 'P 4/m m m'
_symmetry_Int_Tables_number 123
_symmetry_space_group_name_Hall '-P 4 2'
_cell_length_a 5.747
_cell_length_b 5.747
_cell_length_c 5.511
_cell_angle_alpha 90.00
_cell_angle_beta 90.00
_cell_angle_gamma 90.00
loop_
_atom_site_label
_atom_site_type_symbol
_atom_site_fract_x
_atom_site_fract_y
_atom_site_fract_z
Ga1 Ga 0.000 0.000 0.000
Hg1 Hg 0.500 0.500 0.500
Sb1 Sb 0.000 0.000 0.500
I1 I 0.000 0.500 0.000
```

Compound: GaHgSeI
Source: Alexandria
Functional: GGA-PBE
Structure: relaxed

Output
Raw total energy in eV per atom: -2.459
Uncorrected formation energy in eV/atom: -0.368
Magnetic moment in μB/cell: 0.00

```
data_GaHgSeI
_chemical_formula_sum 'Ga1 Hg1 Se1 I1'
_symmetry_space_group_name_H-M 'P 3 m 1'
_symmetry_Int_Tables_number 156
_cell_length_a 4.0014
_cell_length_b 4.0014
_cell_length_c 9.4578
_cell_angle_alpha 90.00
_cell_angle_beta 90.00
_cell_angle_gamma 120.00
loop_
_symmetry_equiv_pos_as_xyz
'x,y,z'
'-y,x-y,z'
'-x+y,-x,z'
'-y,-x,z'
'-x+y,y,z'
'x,x-y,z'
loop_
_atom_site_label
_atom_site_type_symbol
_atom_site_fract_x
_atom_site_fract_y
_atom_site_fract_z
Ga1 Ga 0.0000 0.0000 0.0000
Hg1 Hg 0.0000 0.0000 0.7321
Se1 Se 0.3333 0.6667 0.1157
I1 I 0.6667 0.3333 0.5296
```

Compound: GaSnHgI6
Source: Alexandria
Functional: GGA-PBE
Structure: relaxed

Output
Raw total energy in eV per atom: -2.132
Uncorrected formation energy in eV/atom: -0.284
Magnetic moment in μB/cell: 0.00

```
data_GaSnHgI6
_chemical_formula_sum 'Ga1 Sn1 Hg1 I6'
_symmetry_space_group_name_H-M 'P 3 1 2'
_symmetry_Int_Tables_number 149
_cell_length_a 7.3852
_cell_length_b 7.3852
_cell_length_c 9.3712
_cell_angle_alpha 90.00
_cell_angle_beta 90.00
_cell_angle_gamma 120.00
loop_
_symmetry_equiv_pos_as_xyz
'x,y,z'
'-y,x-y,z'
'-x+y,-x,z'
'-y,-x,-z'
'-x+y,y,-z'
'x,x-y,-z'
loop_
_atom_site_label
_atom_site_type_symbol
_atom_site_fract_x
_atom_site_fract_y
_atom_site_fract_z
Ga1 Ga 0.0000 0.0000 0.0000
Sn1 Sn 0.6667 0.3333 0.0000
Hg1 Hg 0.3333 0.6667 0.5000
I1 I 0.3098 0.0053 0.1808
```

Compound: GaSnHgI4
Source: Alexandria
Functional: GGA-PBE
Structure: relaxed

Output
Raw total energy in eV per atom: -2.233
Uncorrected formation energy in eV/atom: -0.300
Magnetic moment in μB/cell: 0.00

```
data_GaSnHgI4
_chemical_formula_sum 'Ga4 Sn4 Hg4 I16'
_symmetry_space_group_name_H-M 'C 1 2/m 1'
_symmetry_Int_Tables_number 12
_cell_length_a 12.832
_cell_length_b 10.344
_cell_length_c 11.517
_cell_angle_alpha 90.00
_cell_angle_beta 113.40
_cell_angle_gamma 90.00
loop_
_symmetry_equiv_pos_as_xyz
'x,y,z'
'-x,-y,-z'
'-x,y,-z'
'x,-y,z'
'x+1/2,y+1/2,z'
'-x+1/2,-y+1/2,-z'
'-x+1/2,y+1/2,-z'
'x+1/2,-y+1/2,z'
loop_
_atom_site_label
_atom_site_type_symbol
_atom_site_fract_x
_atom_site_fract_y
_atom_site_fract_z
Ga1 Ga 0.157 0.000 0.289
Sn1 Sn 0.186 0.500 0.207
Hg1 Hg 0.086 0.500 0.902
I1 I 0.058 0.000 0.725
I2 I 0.180 0.500 0.464
I3 I 0.191 0.201 0.151
```

Compound: SrGaHgI2
Source: Alexandria
Functional: GGA-PBE
Structure: relaxed

Output
Raw total energy in eV per atom: -2.116
Uncorrected formation energy in eV/atom: -0.494
Magnetic moment in μB/cell: 0.00

```
data_SrGaHgI2
_chemical_formula_sum 'Sr1 Ga1 Hg1 I2'
_symmetry_space_group_name_H-M 'P 4/m m m'
_symmetry_Int_Tables_number 123
_symmetry_space_group_name_Hall '-P 4 2'
_cell_length_a 6.064
_cell_length_b 6.064
_cell_length_c 5.247
_cell_angle_alpha 90.00
_cell_angle_beta 90.00
_cell_angle_gamma 90.00
loop_
_atom_site_label
_atom_site_type_symbol
_atom_site_fract_x
_atom_site_fract_y
_atom_site_fract_z
Sr1 Sr 0.000 0.000 0.000
Ga1 Ga 0.500 0.500 0.500
Hg1 Hg 0.500 0.500 0.000
I1 I 0.000 0.500 0.500
```

Compound: ThGaHgI6
Source: Alexandria
Functional: GGA-PBE
Structure: relaxed

Output
Raw total energy in eV per atom: -2.974
Uncorrected formation energy in eV/atom: -0.746
Magnetic moment in μB/cell: 0.00

```
data_ThGaHgI6
_chemical_formula_sum 'Th2 Ga2 Hg2 I12'
_symmetry_space_group_name_H-M 'P -3 1 c'
_symmetry_Int_Tables_number 163
_symmetry_space_group_name_Hall '-P 3 2c'
_cell_length_a 8.0057
_cell_length_b 8.0057
_cell_length_c 14.6805
_cell_angle_alpha 90.00
_cell_angle_beta 90.00
_cell_angle_gamma 120.00
loop_
_atom_site_label
_atom_site_type_symbol
_atom_site_fract_x
_atom_site_fract_y
_atom_site_fract_z
Th1 Th 0.3333 0.6667 0.2500
Ga1 Ga 0.3333 0.6667 0.7500
Hg1 Hg 0.0000 0.0000 0.0000
I1 I 0.0116 0.3551 0.1300
```

Compound: TlGaHg2I4
Source: Alexandria
Functional: GGA-PBE
Structure: relaxed

Output
Raw total energy in eV per atom: -1.904
Uncorrected formation energy in eV/atom: -0.379
Magnetic moment in μB/cell: 0.00

```
data_TlGaHg2I4
_chemical_formula_sum 'Tl8 Ga8 Hg16 I32'
_symmetry_space_group_name_H-M 'F d d d'
_symmetry_Int_Tables_number 70
_cell_length_a 8.440
_cell_length_b 14.149
_cell_length_c 28.965
_cell_angle_alpha 90.00
_cell_angle_beta 90.00
_cell_angle_gamma 90.00
loop_
_symmetry_equiv_pos_as_xyz
'x,y,z'
'-x,-y,-z'
'-x+1/4,-y+1/4,z'
'x+1/4,y+1/4,-z'
'x,-y+1/4,-z+1/4'
'-x,y+1/4,z+1/4'
'-x+1/4,y,-z+1/4'
'x+1/4,-y,z+1/4'
'x,y+1/2,z+1/2'
'-x,-y+1/2,-z+1/2'
'-x+1/4,-y+3/4,z+1/2'
'x+1/4,y+3/4,-z+1/2'
'x,-y+3/4,-z+3/4'
'-x,y+3/4,z+3/4'
'-x+1/4,y+1/2,-z+3/4'
'x+1/4,-y+1/2,z+3/4'
'x+1/2,y,z+1/2'
'-x+1/2,-y,-z+1/2'
'-x+3/4,-y+1/4,z+1/2'
'x+3/4,y+1/4,-z+1/2'
'x+1/2,-y+1/4,-z+3/4'
'-x+1/2,y+1/4,z+3/4'
'-x+3/4,y,-z+3/4'
'x+3/4,-y,z+3/4'
'x+1/2,y+1/2,z'
'-x+1/2,-y+1/2,-z'
'-x+3/4,-y+3/4,z'
'x+3/4,y+3/4,-z'
'x+1/2,-y+3/4,-z+1/4'
'-x+1/2,y+3/4,z+1/4'
'-x+3/4,y+1/2,-z+1/4'
'x+3/4,-y+1/2,z+1/4'
loop_
_atom_site_label
_atom_site_type_symbol
_atom_site_fract_x
_atom_site_fract_y
_atom_site_fract_z
Tl1 Tl 0.125 0.125 0.125
Ga1 Ga 0.125 0.125 0.625
Hg1 Hg 0.125 0.125 0.282
I1 I 0.052 0.269 0.823
```